(1)
The following is a PBE-GGA calculation of a relaxed structure of AcAl2, from Alexandria via LeMat-Bulk.

Results
Relative energy among the computed polymorphs: 234 meV/atom
Space-group type: I4/mmm
M_tot: 0.00 μB per formula unit
Energy of formation from the pure elements: -36 kJ/mol of formula units

a b c (Å): 3.5981 3.5981 11.9309
angles (deg): 90.00 90.00 90.00
With the nearest neighbours (Å) after each atom.
Element x y z (fractional)
Ac1 0.0000 0.0000 0.0000  10 Al 3.47-3.60, 4 Ac 3.60
Ac2 0.5000 0.5000 0.5000  10 Al 3.47-3.60, 4 Ac 3.60
Al1 0.0000 0.0000 0.3019  4 Al 2.83
Al2 0.0000 0.0000 0.6981  4 Al 2.83
Al3 0.5000 0.5000 0.1981  4 Al 2.83
Al4 0.5000 0.5000 0.8019  4 Al 2.83


(2)
The following is a PBE-GGA calculation of a relaxed structure of Ag2TePt, from Alexandria via LeMat-Bulk.

Results
Formation energy (no corrections): 0.047 eV per atom
Space-group type: Immm
M_tot: 0.00 μB per formula unit

a b c (Å): 4.0703 4.0824 9.2328
angles (deg): 90.00 90.00 90.00
With the nearest neighbours (Å) after each atom.
Element x y z (fractional)
Ag1 0.0000 0.0000 0.2501  4 Ag 2.88, 4 Te 3.08, 4 Pt 3.08
Ag2 0.0000 0.0000 0.7499  4 Ag 2.88, 4 Te 3.08, 4 Pt 3.08
Ag3 0.5000 0.5000 0.2499  4 Ag 2.88, 4 Te 3.08, 4 Pt 3.08
Ag4 0.5000 0.5000 0.7501  4 Ag 2.88, 4 Te 3.08, 4 Pt 3.08
Te1 0.0000 0.5000 0.0000  4 Pt 2.88, 8 Ag 3.08
Te2 0.5000 0.0000 0.5000  4 Pt 2.88, 8 Ag 3.08
Pt1 0.0000 0.5000 0.5000  4 Te 2.88, 8 Ag 3.08
Pt2 0.5000 0.0000 0.0000  4 Te 2.88, 8 Ag 3.08


(3)
The following is a PBE-GGA calculation of a relaxed structure of BaMgCr, from Alexandria via LeMat-Bulk.

Results
Relative energy among the computed polymorphs: 157 meV/atom
Space-group type: F-43m
M_tot: 4.52 μB per formula unit
Energy of formation from the pure elements: 194 kJ/mol of formula units

a b c (Å): 7.6019 7.6019 7.6019
angles (deg): 90.00 90.00 90.00
With the nearest neighbours (Å) after each atom.
Element x y z (fractional)
Ba1 0.0000 0.0000 0.0000  4 Cr 3.29
Ba2 0.0000 0.5000 0.5000  4 Cr 3.29
Ba3 0.5000 0.0000 0.5000  4 Cr 3.29
Ba4 0.5000 0.5000 0.0000  4 Cr 3.29
Mg1 0.0000 0.0000 0.5000  4 Cr 3.29
Mg2 0.0000 0.5000 0.0000  4 Cr 3.29
Mg3 0.5000 0.0000 0.0000  4 Cr 3.29
Mg4 0.5000 0.5000 0.5000  4 Cr 3.29
Cr1 0.2500 0.2500 0.2500  4 Ba 3.29, 4 Mg 3.29
Cr2 0.2500 0.7500 0.7500  4 Ba 3.29, 4 Mg 3.29
Cr3 0.7500 0.2500 0.7500  4 Ba 3.29, 4 Mg 3.29
Cr4 0.7500 0.7500 0.2500  4 Ba 3.29, 4 Mg 3.29